VASP calculation (GGA-PBE) on a relaxed structure of Na2DyTiSe4.

Calculated values
theoretical density	5.0	g cm⁻³
formation energy from raw total energies	-1.40	eV/atom
space-group type	P2/m, No. 10

Lattice parameters (Å, degrees): 3.9572 6.8817 7.3816 108.08 90.00 90.00
With the nearest neighbours (Å) after each atom.
Element x y z (fractional)
Se (0.0000, 0.2786, 0.7844)  2 Ti 2.70, 1 Dy 2.85, 1 Na 2.95
Ti (0.5000, 0.5000, 0.0000)  6 Se 2.69-2.70
Se (0.5000, 0.2598, 0.2261)  1 Ti 2.69, 2 Dy 2.84, 2 Na 2.94
Se (0.0000, 0.7214, 0.2156)  2 Ti 2.70, 1 Dy 2.85, 1 Na 2.95
Na (0.5000, 0.0000, 0.5000)  6 Se 3.08-3.09
Dy (0.0000, 0.0000, 0.0000)  6 Se 2.84-2.85
Na (0.0000, 0.5000, 0.5000)  6 Se 2.94-2.95
Se (0.5000, 0.7402, 0.7739)  1 Ti 2.69, 2 Dy 2.84, 2 Na 2.94